ZrRh2W, PBEsol geometry, DFT SCAN; crystal system = tetragonal; calculated formation energy = -1.03 eV/f.u.; energy relative to the lowest polymorph listed for this composition = 96 meV per atom; space-group type = I-4m2
1.0
-0.860 -3.355 1.762
3.374 0.142 1.916
-3.095 3.697 1.243
Rh W Zr
2 1 1
Direct
0.000 0.000 0.000
0.750 0.250 0.500
0.500 0.500 0.000
0.250 0.750 0.500

=====

AlZn, PBEsol geometry, DFT SCAN; crystal system = triclinic; calculated formation energy = 0.09 eV/f.u.; space-group type = P-1
1.0
-1.173 -1.212 2.219
4.189 -1.798 1.154
-0.589 5.314 0.930
Zn Al
2 2
Direct
0.131 0.296 0.254
0.869 0.704 0.746
0.626 0.794 0.247
0.374 0.206 0.753

=====

ZnCuPt2, PBEsol geometry, DFT SCAN; crystal system = tetragonal; calculated formation energy = -1.63 eV/f.u.; space-group type = I4/mmm
1.0
3.957 0.000 0.000
-1.979 3.996 -0.039
0.000 -1.925 3.457
Zn Cu Pt
1 1 2
Direct
0.500 0.000 0.500
0.000 0.000 0.000
0.750 0.500 0.250
0.250 0.500 0.750

=====

HfFeOs2I, PBEsol geometry, DFT SCAN; crystal system = tetragonal; formation energy from raw total energies = 2398 meV per atom; space-group type = P4/mmm
1.0
-1.171 -4.202 -1.829
4.549 -1.294 0.060
-0.590 -1.857 4.643
I Hf Os Fe
1 1 2 1
Direct
0.000 0.000 0.000
0.000 0.000 0.500
0.000 0.500 0.000
0.500 0.000 0.000
0.500 0.500 0.500

=====

Si9Ni25, PBEsol geometry, DFT SCAN; crystal system = trigonal; formation energy from raw total energies = -467 meV per atom; space-group type = P-3
1.0
-2.290 -4.967 3.710
2.539 -1.236 -5.975
8.609 -1.072 3.880
Si Ni
9 25
Direct
0.008 0.337 0.322
0.992 0.663 0.678
0.663 0.671 0.322
0.337 0.329 0.678
0.329 0.992 0.322
0.671 0.008 0.678
0.333 0.667 0.026
0.667 0.333 0.974
0.000 0.000 0.000
0.343 0.045 0.075
0.657 0.955 0.925
0.955 0.299 0.075
0.045 0.701 0.925
0.701 0.657 0.075
0.299 0.343 0.925
0.333 0.667 0.390
0.667 0.333 0.610
0.000 0.000 0.244
0.000 0.000 0.756
0.000 0.000 0.500
0.333 0.667 0.764
0.667 0.333 0.236
0.328 0.398 0.188
0.672 0.602 0.812
0.602 0.930 0.188
0.398 0.070 0.812
0.070 0.672 0.188
0.930 0.328 0.812
0.380 0.314 0.433
0.620 0.686 0.567
0.686 0.066 0.433
0.314 0.934 0.567
0.934 0.620 0.433
0.066 0.380 0.567

=====

Nb2Cr3Si3, PBEsol geometry, DFT SCAN; crystal system = orthorhombic; formation energy from raw total energies = -419 meV per atom; space-group type = Amm2
1.0
4.771 0.000 0.000
0.000 7.011 0.000
0.000 -3.506 6.314
Nb Cr Si
4 6 6
Direct
0.500 0.801 0.000
0.000 0.753 0.754
0.000 0.999 0.246
0.000 0.215 0.000
0.748 0.666 0.329
0.748 0.337 0.671
0.252 0.337 0.671
0.252 0.666 0.329
0.500 0.248 0.255
0.500 0.993 0.745
0.500 0.592 0.583
0.500 0.009 0.417
0.500 0.394 0.000
0.000 0.406 0.406
0.000 0.001 0.594
0.000 0.585 0.000

=====

So what do the calculations give for energy? Going down the list: -42.24; -10.59; -42.68; -49.86; -15.01; -19.35 eV/atom.